No. 1
## Tc2AsOs (PBE)

Data for a relaxed structure of Tc2AsOs.

The space group is Imm2 (No. 44) and the conventional cell measures 2.949, 4.413 and 8.908 Å, with angles of 90.00, 90.00 and 90.00 degrees. The inequivalent atoms are Tc at (0.000, 0.000, 0.000), Tc at (0.000, 0.500, 0.222), As at (0.000, 0.500, 0.723) and Os at (0.000, 0.000, 0.445).

The spin magnetization is 0.0 Bohr magnetons per cell. The calculation puts the density of states at the Fermi level at 6.48 states/eV/cell. Its crystal system is orthorhombic. The formation enthalpy at 0 K comes out at 2.3 kcal/mol of atoms.

No. 2
## NaDy4PuS8 (PBE)

Data for a relaxed structure of NaDy4PuS8.

The space group is R3m (No. 160, hexagonal axes) and the conventional cell measures 8.0873, 8.0873 and 20.0673 Å, with angles of 90.00, 90.00 and 120.00 degrees. The inequivalent atoms are Na at (0.0000, 0.0000, 0.0000), Dy at (0.0000, 0.0000, 0.2517), Dy at (0.1724, 0.3448, 0.4580), Pu at (0.0000, 0.0000, 0.6289), S at (0.0000, 0.0000, 0.3839), S at (0.0000, 0.0000, 0.8647), S at (0.0299, 0.5150, 0.3805) and S at (0.1759, 0.3518, 0.2048).

The spin magnetization is 15.0 Bohr magnetons per cell. The calculation puts the density of states at the Fermi level at 25.45 states/eV/cell. Its crystal system is trigonal. The raw formation energy is -1.86 eV per atom.

No. 3
## Li2TiCl4 (PBE)

Data for a relaxed structure of Li2TiCl4.

The space group is I-42m (No. 121) and the conventional cell measures 5.607, 5.607 and 11.551 Å, with angles of 90.00, 90.00 and 90.00 degrees. The inequivalent atoms are Li at (0.000, 0.500, 0.250), Ti at (0.000, 0.000, 0.000) and Cl at (0.238, 0.238, 0.133).

The spin magnetization is 4.0 Bohr magnetons per cell. Its crystal system is tetragonal. The raw formation energy is -1.52 eV per atom.

No. 4
## AcPaAl2S8 (PBE)

Data for a relaxed structure of AcPaAl2S8.

The space group is I-4m2 (No. 119) and the conventional cell measures 9.057, 9.057 and 7.702 Å, with angles of 90.00, 90.00 and 90.00 degrees. The inequivalent atoms are Ac at (0.000, 0.000, 0.000), Pa at (0.000, 0.500, 0.750), Al at (0.000, 0.000, 0.500), Al at (0.000, 0.500, 0.250), S at (0.000, 0.200, 0.673) and S at (0.000, 0.324, 0.048).

The spin magnetization is 0.0 Bohr magnetons per cell. The calculation puts the density of states at the Fermi level at 28.95 states/eV/cell. Its crystal system is tetragonal. The raw formation energy is -1.12 eV per atom.